The following is a PBE calculation of crystalline Ba2Zn4InAu3 at its relaxed geometry, from Alexandria.

Summary:
Formation energy from the elements = -0.44 eV/atom

CIF file:
```
data_Ba2Zn4InAu3
_symmetry_space_group_name_H-M 'P -4 m 2'
_symmetry_Int_Tables_number 115
_cell_length_a 4.6266
_cell_length_b 4.6266
_cell_length_c 11.2389
_cell_angle_alpha 90.00
_cell_angle_beta 90.00
_cell_angle_gamma 90.00
loop_
_symmetry_equiv_pos_as_xyz
'x,y,z'
'y,-x,-z'
'-x,-y,z'
'-y,x,-z'
'-x,y,z'
'-y,-x,-z'
'x,-y,z'
'y,x,-z'
loop_
_atom_site_label
_atom_site_type_symbol
_atom_site_fract_x
_atom_site_fract_y
_atom_site_fract_z
Ba1 Ba 0.0000 0.5000 0.2444
Zn1 Zn 0.0000 0.0000 0.0000
Zn2 Zn 0.0000 0.5000 0.6363
Zn3 Zn 0.5000 0.5000 0.0000
In1 In 0.0000 0.0000 0.5000
Au1 Au 0.0000 0.5000 0.8764
Au2 Au 0.5000 0.5000 0.5000
```